A) Material: SrAcAgPd
Method: DFT, PBE
State: optimized geometry

Calculated values
- Theoretical density: 7.69 g cm⁻³
- D(E_F): 0.868 states/eV per atom

Unit cell a=7.701 b=7.701 c=7.701 alpha=90.00 beta=90.00 gamma=90.00
Space group F-43m (No. 216)
Unique sites:
Sr: 0.000 0.000 0.000
Ac: 0.000 0.000 0.500
Ag: 0.250 0.250 0.750
Pd: 0.250 0.250 0.250

---

B) Material: SrAcAgPd
Method: DFT, PBE
State: optimized geometry

Calculated values
- Theoretical density: 7.32 g cm⁻³
- D(E_F): 0.624 states/eV per atom

Unit cell a=4.625 b=4.285 c=12.106 alpha=90.00 beta=90.00 gamma=90.00
Space group Amm2 (No. 38)
Unique sites:
Sr: 0.000 0.000 0.000
Ac: 0.500 0.000 0.725
Ag: 0.500 0.000 0.434
Pd: 0.000 0.000 0.275

---

Tell me which of them is the least stable. Sure, it is A).

---

A) Material: Ac2PmAg
Method: DFT, PBE
State: optimized geometry

Calculated values
- Theoretical density: 8.41 g cm⁻³
- D(E_F): 1.214 states/eV per atom

Unit cell a=8.235 b=8.235 c=8.235 alpha=90.00 beta=90.00 gamma=90.00
Space group Fm-3m (No. 225)
Unique sites:
Ac: 0.250 0.250 0.250
Pm: 0.000 0.000 0.000
Ag: 0.000 0.000 0.500

---

B) Material: Ac2PmAg
Method: DFT, PBE
State: optimized geometry

Calculated values
- Theoretical density: 7.58 g cm⁻³
- D(E_F): 1.097 states/eV per atom

Unit cell a=3.8079 b=3.8079 c=36.9925 alpha=90.00 beta=90.00 gamma=120.00
Space group R-3m (No. 166, hexagonal axes)
Unique sites:
Ac: 0.0000 0.0000 0.0846
Pm: 0.0000 0.0000 0.5000
Ag: 0.0000 0.0000 0.0000

---

C) Material: Ac2PmAg
Method: DFT, PBE
State: optimized geometry

Calculated values
- Theoretical density: 7.94 g cm⁻³
- D(E_F): 1.109 states/eV per atom

Unit cell a=3.9599 b=3.9599 c=32.6510 alpha=90.00 beta=90.00 gamma=120.00
Space group R3m (No. 160, hexagonal axes)
Unique sites:
Ac: 0.0000 0.0000 0.0000
Ac: 0.0000 0.0000 0.1859
Pm: 0.0000 0.0000 0.4256
Ag: 0.0000 0.0000 0.5936

---

D) Material: Ac2PmAg
Method: DFT, PBE
State: optimized geometry

Calculated values
- Theoretical density: 8.22 g cm⁻³
- D(E_F): 1.330 states/eV per atom

Unit cell a=3.937 b=3.937 c=9.220 alpha=90.00 beta=90.00 gamma=90.00
Space group P4/mmm (No. 123)
Unique sites:
Ac: 0.000 0.000 0.216
Pm: 0.500 0.500 0.500
Ag: 0.500 0.500 0.000

---

Tell me which of them is the least stable. Sure, it is B).

---

A) Material: AcPm2Ag6
Method: DFT, PBE
State: optimized geometry

Calculated values
- Theoretical density: 8.46 g cm⁻³
- D(E_F): 0.711 states/eV per atom

Unit cell a=3.825 b=8.062 c=14.821 alpha=90.00 beta=90.00 gamma=90.00
Space group Immm (No. 71)
Unique sites:
Ac: 0.000 0.000 0.000
Pm: 0.000 0.500 0.139
Ag: 0.000 0.176 0.500
Ag: 0.000 0.315 0.322

---

B) Material: AcPm2Ag6
Method: DFT, PBE
State: optimized geometry

Calculated values
- Theoretical density: 8.62 g cm⁻³
- D(E_F): 0.776 states/eV per atom

Unit cell a=8.3483 b=8.3483 c=3.7163 alpha=90.00 beta=90.00 gamma=120.00
Space group P6/mmm (No. 191)
Unique sites:
Ac: 0.0000 0.0000 0.0000
Pm: 0.3333 0.6667 0.0000
Ag: 0.0000 0.3365 0.5000

---

Tell me which of them is the least stable. Sure, it is A).

---

A) Material: Ac2PmAg2
Method: DFT, PBE
State: optimized geometry

Calculated values
- Theoretical density: 8.10 g cm⁻³
- D(E_F): 1.170 states/eV per atom

Unit cell a=8.104 b=12.396 c=6.648 alpha=90.00 beta=90.00 gamma=90.00
Space group Ibam (No. 72)
Unique sites:
Ac: 0.153 0.202 0.000
Pm: 0.000 0.500 0.250
Ag: 0.175 0.059 0.500

---

B) Material: Ac2PmAg2
Method: DFT, PBE
State: optimized geometry

Calculated values
- Theoretical density: 8.08 g cm⁻³
- D(E_F): 1.272 states/eV per atom

Unit cell a=6.688 b=16.572 c=6.046 alpha=90.00 beta=90.00 gamma=90.00
Space group Cmcm (No. 63)
Unique sites:
Ac: 0.000 0.082 0.250
Ac: 0.000 0.292 0.750
Pm: 0.000 0.500 0.000
Ag: 0.234 0.126 0.750

---

Tell me which of them is the least stable. Sure, it is B).

---

A) Material: AcPmPrAg
Method: DFT, PBE
State: optimized geometry

Calculated values
- Theoretical density: 7.95 g cm⁻³
- D(E_F): 1.580 states/eV per atom

Unit cell a=8.035 b=8.035 c=8.035 alpha=90.00 beta=90.00 gamma=90.00
Space group F-43m (No. 216)
Unique sites:
Ac: 0.000 0.000 0.000
Pm: 0.250 0.250 0.250
Pr: 0.250 0.250 0.750
Ag: 0.000 0.000 0.500

---

B) Material: AcPmPrAg
Method: DFT, PBE
State: optimized geometry

Calculated values
- Theoretical density: 7.72 g cm⁻³
- D(E_F): 1.451 states/eV per atom

Unit cell a=3.833 b=3.833 c=9.092 alpha=90.00 beta=90.00 gamma=90.00
Space group P4mm (No. 99)
Unique sites:
Ac: 0.000 0.000 0.000
Pm: 0.000 0.000 0.423
Pr: 0.500 0.500 0.696
Ag: 0.500 0.500 0.236

---

Tell me which of them is the least stable. Sure, it is A).

---

A) Material: AcPmSmAg
Method: DFT, PBE
State: optimized geometry

Calculated values
- Theoretical density: 8.17 g cm⁻³
- D(E_F): 1.422 states/eV per atom

Unit cell a=3.793 b=3.793 c=8.905 alpha=90.00 beta=90.00 gamma=90.00
Space group P4mm (No. 99)
Unique sites:
Ac: 0.000 0.000 0.000
Pm: 0.500 0.500 0.701
Sm: 0.500 0.500 0.297
Ag: 0.000 0.000 0.497

---

B) Material: AcPmSmAg
Method: DFT, PBE
State: optimized geometry

Calculated values
- Theoretical density: 8.24 g cm⁻³
- D(E_F): 1.494 states/eV per atom

Unit cell a=7.978 b=7.978 c=7.978 alpha=90.00 beta=90.00 gamma=90.00
Space group F-43m (No. 216)
Unique sites:
Ac: 0.000 0.000 0.000
Pm: 0.250 0.250 0.750
Sm: 0.250 0.250 0.250
Ag: 0.000 0.000 0.500

---

Tell me which of them is the least stable. Sure, it is B).